[1]
YSc2Pb | Alexandria | PBE | optimized geometry; size of the total moment = 0.01 μB/cell; formation energy = -0.35 eV per atom
1.0
4.434 0.000 0.000
0.000 4.515 0.000
-2.215 0.000 10.723
Y Sc Pb
2 4 2
Direct
0.189 0.250 0.378 Y
0.811 0.750 0.622 Y
0.053 0.750 0.107 Sc
0.441 0.750 0.882 Sc
0.559 0.250 0.118 Sc
0.947 0.250 0.893 Sc
0.339 0.250 0.678 Pb
0.661 0.750 0.322 Pb



[2]
YSc2Pb2 | Alexandria | PBE | optimized geometry; size of the total moment = 2.45 μB/cell; relative energy among the computed polymorphs = 0.00 eV per formula unit; formation energy = -0.37 eV per atom
1.0
8.574 0.000 0.000
0.000 8.574 0.000
0.000 0.000 3.593
Y Sc Pb
2 4 4
Direct
0.000 0.000 0.000 Y
0.500 0.500 0.000 Y
0.141 0.359 0.500 Sc
0.359 0.859 0.500 Sc
0.641 0.141 0.500 Sc
0.859 0.641 0.500 Sc
0.157 0.657 0.000 Pb
0.343 0.157 0.000 Pb
0.657 0.843 0.000 Pb
0.843 0.343 0.000 Pb



[3]
Y3ScPb | Alexandria | PBE | optimized geometry; size of the total moment = 0.00 μB/cell; relative energy among the computed polymorphs = 0.47 eV per formula unit; formation energy = 0.54 eV per atom
1.0
5.486 0.000 0.000
0.000 5.486 0.000
0.000 0.000 5.486
Y Sc Pb
3 1 1
Direct
0.000 0.000 0.500 Y
0.000 0.500 0.000 Y
0.500 0.000 0.000 Y
0.000 0.000 0.000 Sc
0.500 0.500 0.500 Pb